! CaFeCl4 GGA-PBE relaxed; values from VASP
&SYSTEM
  ibrav = 0, nat = 12, ntyp = 3
/
ATOMIC_SPECIES
Ca 40.08 Ca.upf
Fe 55.84 Fe.upf
Cl 35.45 Cl.upf
ATOMIC_POSITIONS crystal
Ca 0.000 0.000 0.000
Ca 0.500 0.500 0.500
Fe 0.000 0.500 0.250
Fe 0.500 0.000 0.750
Cl 0.211 0.280 0.375
Cl 0.220 0.711 0.125
Cl 0.280 0.789 0.625
Cl 0.289 0.220 0.875
Cl 0.711 0.780 0.875
Cl 0.720 0.211 0.625
Cl 0.780 0.289 0.125
Cl 0.789 0.720 0.375
CELL_PARAMETERS angstrom
6.799 0.000 0.000
0.000 6.799 0.000
0.000 0.000 8.101
! * formation energy without anion corrections: -1.438 eV per atom
! * theoretical density: 2109 kg/m3
! * offset from the most stable computed form: 0 meV per atom



! K4RbHg GGA-PBE relaxed; values from VASP
&SYSTEM
  ibrav = 0, nat = 12, ntyp = 3
/
ATOMIC_SPECIES
K 39.10 K.upf
Rb 85.47 Rb.upf
Hg 200.59 Hg.upf
ATOMIC_POSITIONS crystal
K 0.015 0.015 0.184
K 0.168 0.515 0.183
K 0.332 0.332 0.817
K 0.485 0.832 0.817
K 0.515 0.168 0.183
K 0.668 0.668 0.183
K 0.832 0.485 0.817
K 0.985 0.985 0.816
Rb 0.000 0.500 0.500
Rb 0.500 0.000 0.500
Hg 0.250 0.750 0.000
Hg 0.750 0.250 0.000
CELL_PARAMETERS angstrom
6.229 -6.221 0.000
6.229 6.221 0.000
-6.197 0.000 9.949
! * theoretical density: 1906 kg/m3
! * offset from the most stable computed form: 15 meV per atom
! * DFT formation energy: -0.06 eV/atom



! Sm2InSi3Ni12 GGA-PBE relaxed; values from VASP
&SYSTEM
  ibrav = 0, nat = 18, ntyp = 4
/
ATOMIC_SPECIES
Sm 150.36 Sm.upf
In 114.82 In.upf
Si 28.09 Si.upf
Ni 58.69 Ni.upf
ATOMIC_POSITIONS crystal
Sm 0.139 0.139 0.139
Sm 0.861 0.861 0.861
In 0.500 0.500 0.500
Si 0.000 0.500 0.500
Si 0.500 0.000 0.500
Si 0.500 0.500 0.000
Ni 0.050 0.622 0.622
Ni 0.093 0.093 0.693
Ni 0.093 0.693 0.093
Ni 0.307 0.907 0.907
Ni 0.378 0.378 0.950
Ni 0.378 0.950 0.378
Ni 0.622 0.050 0.622
Ni 0.622 0.622 0.050
Ni 0.693 0.093 0.093
Ni 0.907 0.307 0.907
Ni 0.907 0.907 0.307
Ni 0.950 0.378 0.378
CELL_PARAMETERS angstrom
3.052 1.762 8.548
-3.052 1.762 8.548
0.000 -3.524 8.548
! * formation energy without anion corrections: -0.075 eV per atom
! * theoretical density: 7250 kg/m3



! TePdF3 GGA-PBE relaxed; values from VASP
&SYSTEM
  ibrav = 0, nat = 5, ntyp = 3
/
ATOMIC_SPECIES
Te 127.60 Te.upf
Pd 106.42 Pd.upf
F 19.00 F.upf
ATOMIC_POSITIONS crystal
Te 0.000 0.000 0.000
Pd 0.500 0.500 0.500
F 0.000 0.000 0.500
F 0.000 0.500 0.000
F 0.500 0.000 0.000
CELL_PARAMETERS angstrom
4.522 0.000 0.000
0.000 4.522 0.000
0.000 0.000 4.522
! * formation energy without anion corrections: -0.717 eV per atom
! * theoretical density: 5227 kg/m3
! * offset from the most stable computed form: 0 meV per atom



! Ce2AlGa3Rh4 GGA-PBE relaxed; values from VASP
&SYSTEM
  ibrav = 0, nat = 10, ntyp = 4
/
ATOMIC_SPECIES
Ce 140.12 Ce.upf
Al 26.98 Al.upf
Ga 69.72 Ga.upf
Rh 102.91 Rh.upf
ATOMIC_POSITIONS crystal
Ce 0.000 0.500 0.240
Ce 0.500 0.000 0.760
Al 0.000 0.000 0.500
Ga 0.000 0.500 0.873
Ga 0.500 0.000 0.127
Ga 0.500 0.500 0.500
Rh 0.000 0.000 0.000
Rh 0.000 0.500 0.631
Rh 0.500 0.000 0.369
Rh 0.500 0.500 0.000
CELL_PARAMETERS angstrom
4.259 0.000 0.000
0.000 4.259 0.000
0.000 0.000 10.197
! * theoretical density: 8330 kg/m3
! * DFT formation energy: -0.80 eV/atom



! CaSn2Bi2 GGA-PBE relaxed; values from VASP
&SYSTEM
  ibrav = 0, nat = 10, ntyp = 3
/
ATOMIC_SPECIES
Ca 40.08 Ca.upf
Sn 118.71 Sn.upf
Bi 208.98 Bi.upf
ATOMIC_POSITIONS crystal
Ca 0.153 0.847 0.750
Ca 0.847 0.153 0.250
Sn 0.045 0.955 0.250
Sn 0.451 0.549 0.250
Sn 0.549 0.451 0.750
Sn 0.955 0.045 0.750
Bi 0.252 0.748 0.250
Bi 0.365 0.635 0.750
Bi 0.635 0.365 0.250
Bi 0.748 0.252 0.750
CELL_PARAMETERS angstrom
2.396 -13.244 0.000
2.396 13.244 0.000
0.000 0.000 4.720
! * theoretical density: 7711 kg/m3
! * DFT formation energy: -0.28 eV/atom



! AgRh2Cl GGA-PBE relaxed; values from VASP
&SYSTEM
  ibrav = 0, nat = 8, ntyp = 3
/
ATOMIC_SPECIES
Ag 107.87 Ag.upf
Rh 102.91 Rh.upf
Cl 35.45 Cl.upf
ATOMIC_POSITIONS crystal
Ag 0.000 0.000 0.000
Ag 0.500 0.500 0.500
Rh 0.000 0.000 0.491
Rh 0.000 0.500 0.225
Rh 0.500 0.000 0.725
Rh 0.500 0.500 0.991
Cl 0.000 0.500 0.777
Cl 0.500 0.000 0.277
CELL_PARAMETERS angstrom
2.863 0.000 0.000
0.000 4.828 0.000
0.000 0.000 9.470
! * formation energy without anion corrections: 0.477 eV per atom
! * theoretical density: 8856 kg/m3
! * offset from the most stable computed form: 298 meV per atom



! SrTcRh2 GGA-PBE relaxed; values from VASP
&SYSTEM
  ibrav = 0, nat = 4, ntyp = 3
/
ATOMIC_SPECIES
Sr 87.62 Sr.upf
Tc 98.00 Tc.upf
Rh 102.91 Rh.upf
ATOMIC_POSITIONS crystal
Sr 0.000 0.000 0.000
Tc 0.500 0.500 0.349
Rh 0.000 0.000 0.497
Rh 0.500 0.500 0.715
CELL_PARAMETERS angstrom
2.835 0.000 0.000
0.000 3.951 0.000
0.000 0.000 6.798
! * theoretical density: 8537 kg/m3
! * offset from the most stable computed form: 202 meV per atom
! * DFT formation energy: 0.34 eV/atom



Number 1: calculated volume 31.2 Å³/atom, total moment 0.667 μB/atom. Number 2: calculated volume 64.3 Å³/atom, total moment 0.000 μB/atom. Number 3: calculated volume 15.3 Å³/atom, total moment 0.000 μB/atom. Number 4: calculated volume 18.5 Å³/atom, total moment 0.000 μB/atom. Number 5: calculated volume 18.5 Å³/atom, total moment 0.138 μB/atom. Number 6: calculated volume 30.0 Å³/atom, total moment 0.000 μB/atom. Number 7: calculated volume 16.4 Å³/atom, total moment 0.174 μB/atom. Number 8: calculated volume 19.0 Å³/atom, total moment 0.122 μB/atom.